This record from Alexandria describes crystalline Pr2As4PtRh3 at its relaxed geometry. The functional is PBE-GGA.

Unit cell a=4.364 b=4.364 c=9.941 alpha=90.00 beta=90.00 gamma=90.00
Positions (direct):
1 Pr 0.000 0.500 0.247
2 Pr 0.500 0.000 0.753
3 As 0.000 0.000 0.000
4 As 0.000 0.500 0.638
5 As 0.500 0.000 0.362
6 As 0.500 0.500 0.000
7 Pt 0.000 0.000 0.500
8 Rh 0.000 0.500 0.883
9 Rh 0.500 0.000 0.117
10 Rh 0.500 0.500 0.500

**D(E_F)**: 0.72 states/eV/atom
**E_tot**: -6.5381 eV/atom
**Formation energy from the elements**: -913 meV per atom